# GGA+U MnSnO4, relaxed
data_MnSnO4
_chemical_formula_sum 'Mn4 Sn4 O16'
_symmetry_space_group_name_H-M 'I 41 m d'
_symmetry_Int_Tables_number 109
_symmetry_space_group_name_Hall 'I 4bw -2'
_cell_length_a 6.5847
_cell_length_b 6.5847
_cell_length_c 6.2280
_cell_angle_alpha 90.00
_cell_angle_beta 90.00
_cell_angle_gamma 90.00
loop_
_atom_site_label
_atom_site_type_symbol
_atom_site_fract_x
_atom_site_fract_y
_atom_site_fract_z
_atom_site_occupancy
Mn1 Mn 0.0000 0.0000 0.0000 1
Sn1 Sn 0.0000 0.0000 0.4960 1
O1 O 0.0000 0.3043 0.0096 1
O2 O 0.0000 0.3103 0.4821 1
# Calculated density ... 5.85 Mg/m³
# Crystal system ... tetragonal
# Total magnetization ... 12.00 μB/cell
# Uncorrected energy ... -6.6409 eV per atom